# Pm7NdSi4 PBE relaxed
data_Pm7NdSi4
_cell_length_a 7.2307
_cell_length_b 7.2307
_cell_length_c 10.5876
_cell_angle_alpha 121.94
_cell_angle_beta 121.94
_cell_angle_gamma 46.02
_space_group_name_H-M_alt 'P 1'
_space_group_IT_number 1
_space_group_name_Hall 'P 1'
loop_
_atom_site_label
_atom_site_type_symbol
_atom_site_fract_x
_atom_site_fract_y
_atom_site_fract_z
Pm1 Pm 0.0000 0.0000 0.0000
Pm2 Pm 0.1827 0.1827 0.6236
Pm3 Pm 0.2902 0.2902 0.1160
Pm4 Pm 0.4291 0.4291 0.6186
Pm5 Pm 0.5709 0.5709 0.3814
Pm6 Pm 0.7098 0.7098 0.8840
Pm7 Pm 0.8173 0.8173 0.3764
Nd1 Nd 0.5000 0.5000 0.0000
Si1 Si 0.0455 0.0455 0.7543
Si2 Si 0.1818 0.1818 0.3282
Si3 Si 0.8182 0.8182 0.6718
Si4 Si 0.9545 0.9545 0.2457
# Magnetic moment: 0.0130 μB per atom
# Electronic total energy: -5.1818 eV per atom
# Space group: No. 12
# DOS(E_F): 10.0 states/eV/cell